# Si2IrOs, optimized geometry, DFT GGA-PBEsol
# **VASP energy**: -8.418 eV per atom
# **DOS at the Fermi energy**: 2.00 states/eV per cell
# **Uncorrected formation energy**: -0.04 eV/atom
data_Si2IrOs
_chemical_formula_sum 'Si2 Ir1 Os1'
_space_group_name_H-M_alt 'P 1'
_space_group_IT_number 1
_cell_length_a 2.833
_cell_length_b 4.864
_cell_length_c 4.864
_cell_angle_alpha 61.21
_cell_angle_beta 73.07
_cell_angle_gamma 73.07
loop_
_space_group_symop_operation_xyz
'x,y,z'
loop_
_atom_site_label
_atom_site_type_symbol
_atom_site_fract_x
_atom_site_fract_y
_atom_site_fract_z
_atom_site_occupancy
Ir1 Ir 0.500 0.000 0.000 1
Os1 Os 0.000 0.500 0.500 1
Si1 Si 0.250 0.750 0.750 1
Si2 Si 0.750 0.250 0.250 1

***

# SiIr3Os, optimized geometry, DFT GGA-PBEsol
# **VASP energy**: -8.134 eV per atom
# **DOS at the Fermi energy**: 8.04 states/eV per cell
# **Uncorrected formation energy**: 1.35 eV/atom
# **Energy above the most stable polymorph in this dataset**: 0.00 eV per formula unit
data_SiIr3Os
_chemical_formula_sum 'Si1 Ir3 Os1'
_space_group_name_H-M_alt 'P 1'
_space_group_IT_number 1
_cell_length_a 4.308
_cell_length_b 4.308
_cell_length_c 4.308
_cell_angle_alpha 90.00
_cell_angle_beta 90.00
_cell_angle_gamma 90.00
loop_
_space_group_symop_operation_xyz
'x,y,z'
loop_
_atom_site_label
_atom_site_type_symbol
_atom_site_fract_x
_atom_site_fract_y
_atom_site_fract_z
_atom_site_occupancy
Si1 Si 0.000 0.000 0.000 1
Ir1 Ir 0.000 0.500 0.000 1
Ir2 Ir 0.000 0.000 0.500 1
Ir3 Ir 0.500 0.000 0.000 1
Os1 Os 0.500 0.500 0.500 1

***

# SiIr3Os, optimized geometry, DFT GGA-PBEsol
# **VASP energy**: -7.416 eV per atom
# **DOS at the Fermi energy**: 5.17 states/eV per cell
# **Uncorrected formation energy**: 2.07 eV/atom
# **Energy above the most stable polymorph in this dataset**: 3.59 eV per formula unit
data_SiIr3Os
_chemical_formula_sum 'Si1 Ir3 Os1'
_space_group_name_H-M_alt 'P 1'
_space_group_IT_number 1
_cell_length_a 4.681
_cell_length_b 4.681
_cell_length_c 4.681
_cell_angle_alpha 90.00
_cell_angle_beta 90.00
_cell_angle_gamma 90.00
loop_
_space_group_symop_operation_xyz
'x,y,z'
loop_
_atom_site_label
_atom_site_type_symbol
_atom_site_fract_x
_atom_site_fract_y
_atom_site_fract_z
_atom_site_occupancy
Si1 Si 0.500 0.500 0.500 1
Ir1 Ir 0.000 0.500 0.000 1
Ir2 Ir 0.000 0.000 0.500 1
Ir3 Ir 0.500 0.000 0.000 1
Os1 Os 0.000 0.000 0.000 1

***

# Si2IrOs, optimized geometry, DFT GGA-PBEsol
# **VASP energy**: -8.491 eV per atom
# **DOS at the Fermi energy**: 2.16 states/eV per cell
# **Uncorrected formation energy**: -0.11 eV/atom
data_Si2IrOs
_chemical_formula_sum 'Si2 Ir1 Os1'
_space_group_name_H-M_alt 'P 1'
_space_group_IT_number 1
_cell_length_a 2.857
_cell_length_b 2.857
_cell_length_c 7.909
_cell_angle_alpha 79.60
_cell_angle_beta 79.60
_cell_angle_gamma 60.00
loop_
_space_group_symop_operation_xyz
'x,y,z'
loop_
_atom_site_label
_atom_site_type_symbol
_atom_site_fract_x
_atom_site_fract_y
_atom_site_fract_z
_atom_site_occupancy
Ir1 Ir 0.492 0.492 0.523 1
Os1 Os 0.258 0.258 0.226 1
Si1 Si 0.000 0.000 0.001 1
Si2 Si 0.750 0.750 0.750 1

***

# SiIr2Os, optimized geometry, DFT GGA-PBEsol
# **VASP energy**: -9.190 eV per atom
# **DOS at the Fermi energy**: 3.97 states/eV per cell
# **Uncorrected formation energy**: 0.21 eV/atom
data_SiIr2Os
_chemical_formula_sum 'Si1 Ir2 Os1'
_space_group_name_H-M_alt 'P 1'
_space_group_IT_number 1
_cell_length_a 2.735
_cell_length_b 2.745
_cell_length_c 8.639
_cell_angle_alpha 90.00
_cell_angle_beta 90.00
_cell_angle_gamma 119.87
loop_
_space_group_symop_operation_xyz
'x,y,z'
loop_
_atom_site_label
_atom_site_type_symbol
_atom_site_fract_x
_atom_site_fract_y
_atom_site_fract_z
_atom_site_occupancy
Ir1 Ir 0.000 0.000 0.774 1
Ir2 Ir 0.000 0.000 0.226 1
Os1 Os 0.500 0.000 0.500 1
Si1 Si 0.500 0.000 0.000 1

***

# SiIr2Os, optimized geometry, DFT GGA-PBEsol
# **VASP energy**: -9.601 eV per atom
# **DOS at the Fermi energy**: 1.80 states/eV per cell
# **Uncorrected formation energy**: -0.20 eV/atom
data_SiIr2Os
_chemical_formula_sum 'Si1 Ir2 Os1'
_space_group_name_H-M_alt 'P 1'
_space_group_IT_number 1
_cell_length_a 2.779
_cell_length_b 3.871
_cell_length_c 5.290
_cell_angle_alpha 90.00
_cell_angle_beta 105.23
_cell_angle_gamma 90.00
loop_
_space_group_symop_operation_xyz
'x,y,z'
loop_
_atom_site_label
_atom_site_type_symbol
_atom_site_fract_x
_atom_site_fract_y
_atom_site_fract_z
_atom_site_occupancy
Ir1 Ir 0.956 0.000 0.912 1
Ir2 Ir 0.304 0.500 0.608 1
Os1 Os 0.690 0.000 0.381 1
Si1 Si 0.542 0.500 0.084 1

***

# SiIr2Os, optimized geometry, DFT GGA-PBEsol
# **VASP energy**: -8.708 eV per atom
# **DOS at the Fermi energy**: 5.23 states/eV per cell
# **Uncorrected formation energy**: 0.69 eV/atom
data_SiIr2Os
_chemical_formula_sum 'Si2 Ir4 Os2'
_space_group_name_H-M_alt 'P 1'
_space_group_IT_number 1
_cell_length_a 5.288
_cell_length_b 5.288
_cell_length_c 6.790
_cell_angle_alpha 112.91
_cell_angle_beta 112.91
_cell_angle_gamma 90.00
loop_
_space_group_symop_operation_xyz
'x,y,z'
loop_
_atom_site_label
_atom_site_type_symbol
_atom_site_fract_x
_atom_site_fract_y
_atom_site_fract_z
_atom_site_occupancy
Si1 Si 0.750 0.250 0.500 1
Si2 Si 0.500 0.500 0.000 1
Ir1 Ir 0.865 0.375 0.250 1
Ir2 Ir 0.385 0.875 0.250 1
Ir3 Ir 0.625 0.615 0.750 1
Ir4 Ir 0.125 0.135 0.750 1
Os1 Os 0.250 0.750 0.500 1
Os2 Os 0.000 0.000 0.000 1

***

# Si2IrOs, optimized geometry, DFT GGA-PBEsol
# **VASP energy**: -8.748 eV per atom
# **DOS at the Fermi energy**: 1.61 states/eV per cell
# **Uncorrected formation energy**: -0.36 eV/atom
data_Si2IrOs
_chemical_formula_sum 'Si2 Ir1 Os1'
_space_group_name_H-M_alt 'P 1'
_space_group_IT_number 1
_cell_length_a 2.820
_cell_length_b 4.173
_cell_length_c 4.883
_cell_angle_alpha 101.33
_cell_angle_beta 90.00
_cell_angle_gamma 109.75
loop_
_space_group_symop_operation_xyz
'x,y,z'
loop_
_atom_site_label
_atom_site_type_symbol
_atom_site_fract_x
_atom_site_fract_y
_atom_site_fract_z
_atom_site_occupancy
Ir1 Ir 0.000 0.000 0.500 1
Os1 Os 0.500 0.000 0.000 1
Si1 Si 0.751 0.503 0.758 1
Si2 Si 0.249 0.497 0.242 1